The following is a DFT calculation (GGA-PBE) of crystalline LiLaRe at its relaxed geometry. Values from VASP.

Properties
* formation energy: 179 kJ/mol of formula units
* excess energy over the best structure of this formula in the dataset: 2.201 kcal/mol of atoms

```
&SYSTEM
  ibrav = 0, nat = 3, ntyp = 3
/
ATOMIC_SPECIES
Li 6.94 Li.upf
La 138.91 La.upf
Re 186.21 Re.upf
CELL_PARAMETERS angstrom
0.000 2.488 7.679
1.632 0.000 7.679
1.632 2.488 0.000
ATOMIC_POSITIONS crystal
Li 0.000 0.000 0.000
La 0.291 0.291 0.709
Re 0.638 0.638 0.362
```

***

The following is a DFT calculation (GGA-PBE) of crystalline CuSbI2O at its relaxed geometry. Values from VASP.

Properties
* formation energy (no corrections): 34 kJ/mol of formula units
* excess energy over the best structure of this formula in the dataset: 0.000 kcal/mol of atoms

```
&SYSTEM
  ibrav = 0, nat = 5, ntyp = 4
/
ATOMIC_SPECIES
Cu 63.55 Cu.upf
Sb 121.76 Sb.upf
I 126.90 I.upf
O 16.00 O.upf
CELL_PARAMETERS angstrom
6.058 0.000 0.000
0.000 6.058 0.000
0.000 0.000 4.070
ATOMIC_POSITIONS crystal
Cu 0.000 0.000 0.000
Sb 0.500 0.500 0.500
I 0.000 0.500 0.500
I 0.500 0.000 0.500
O 0.500 0.500 0.000
```

***

The following is a DFT calculation (GGA-PBE) of crystalline LaTb2Y6Ho3 at its relaxed geometry. Values from VASP.

Properties
* formation energy: 26 kJ/mol of formula units

```
&SYSTEM
  ibrav = 0, nat = 12, ntyp = 4
/
ATOMIC_SPECIES
La 138.91 La.upf
Tb 158.93 Tb.upf
Y 88.91 Y.upf
Ho 164.93 Ho.upf
CELL_PARAMETERS angstrom
3.096 -5.359 0.000
3.096 5.359 0.000
-2.056 0.000 11.657
ATOMIC_POSITIONS crystal
La 0.000 0.000 0.000
Tb 0.333 0.667 0.000
Tb 0.667 0.333 0.000
Y 0.085 0.419 0.253
Y 0.250 0.250 0.747
Y 0.419 0.085 0.253
Y 0.581 0.915 0.747
Y 0.750 0.750 0.253
Y 0.915 0.581 0.747
Ho 0.167 0.833 0.500
Ho 0.500 0.500 0.500
Ho 0.833 0.167 0.500
```

***

The following is a DFT calculation (GGA-PBE) of crystalline Ce2ThGe2 at its relaxed geometry. Values from VASP.

Properties
* formation energy: -315 kJ/mol of formula units
* excess energy over the best structure of this formula in the dataset: 0.000 kcal/mol of atoms

```
&SYSTEM
  ibrav = 0, nat = 10, ntyp = 3
/
ATOMIC_SPECIES
Ce 140.12 Ce.upf
Th 232.04 Th.upf
Ge 72.64 Ge.upf
CELL_PARAMETERS angstrom
7.890 0.000 0.000
0.000 7.890 0.000
0.000 0.000 4.103
ATOMIC_POSITIONS crystal
Ce 0.175 0.325 0.000
Ce 0.325 0.825 0.000
Ce 0.675 0.175 0.000
Ce 0.825 0.675 0.000
Th 0.000 0.000 0.500
Th 0.500 0.500 0.500
Ge 0.122 0.622 0.500
Ge 0.378 0.122 0.500
Ge 0.622 0.878 0.500
Ge 0.878 0.378 0.500
```

***

The following is a DFT calculation (GGA-PBE) of crystalline Pr7SmHo2 at its relaxed geometry. Values from VASP.

Properties
* formation energy: 604 kJ/mol of formula units
* excess energy over the best structure of this formula in the dataset: 6.074 kcal/mol of atoms

```
&SYSTEM
  ibrav = 0, nat = 10, ntyp = 3
/
ATOMIC_SPECIES
Pr 140.91 Pr.upf
Sm 150.36 Sm.upf
Ho 164.93 Ho.upf
CELL_PARAMETERS angstrom
4.502 -8.191 0.000
4.502 8.191 0.000
0.000 0.000 5.761
ATOMIC_POSITIONS crystal
Pr 0.000 0.000 0.000
Pr 0.205 0.435 0.000
Pr 0.273 0.727 0.500
Pr 0.435 0.205 0.000
Pr 0.565 0.795 0.000
Pr 0.727 0.273 0.500
Pr 0.795 0.565 0.000
Sm 0.500 0.500 0.500
Ho 0.204 0.796 0.000
Ho 0.796 0.204 0.000
```

***

The following is a DFT calculation (GGA-PBE) of crystalline KInRu at its relaxed geometry. Values from VASP.

Properties
* formation energy: 224 kJ/mol of formula units
* excess energy over the best structure of this formula in the dataset: 8.023 kcal/mol of atoms

```
&SYSTEM
  ibrav = 0, nat = 3, ntyp = 3
/
ATOMIC_SPECIES
K 39.10 K.upf
In 114.82 In.upf
Ru 101.07 Ru.upf
CELL_PARAMETERS angstrom
5.236 0.000 0.000
-2.618 4.534 0.000
0.000 0.000 2.822
ATOMIC_POSITIONS crystal
K 0.000 0.000 0.000
In 0.333 0.667 0.500
Ru 0.667 0.333 0.500
```

***

The following is a DFT calculation (GGA-PBE) of crystalline Dy2Y6Th3 at its relaxed geometry. Values from VASP.

Properties
* formation energy: 189 kJ/mol of formula units

```
&SYSTEM
  ibrav = 0, nat = 11, ntyp = 3
/
ATOMIC_SPECIES
Dy 162.50 Dy.upf
Y 88.91 Y.upf
Th 232.04 Th.upf
CELL_PARAMETERS angstrom
2.995 -5.573 0.000
2.995 5.573 0.000
-1.415 0.000 11.058
ATOMIC_POSITIONS crystal
Dy 0.146 0.854 0.000
Dy 0.854 0.146 0.000
Y 0.097 0.097 0.267
Y 0.256 0.573 0.770
Y 0.427 0.744 0.230
Y 0.573 0.256 0.770
Y 0.744 0.427 0.230
Y 0.903 0.903 0.733
Th 0.175 0.825 0.500
Th 0.500 0.500 0.500
Th 0.825 0.175 0.500
```

***

The following is a DFT calculation (GGA-PBE) of crystalline Sc6Cu3Tc at its relaxed geometry. Values from VASP.

Properties
* formation energy: -184 kJ/mol of formula units

```
&SYSTEM
  ibrav = 0, nat = 20, ntyp = 3
/
ATOMIC_SPECIES
Sc 44.96 Sc.upf
Cu 63.55 Cu.upf
Tc 98.00 Tc.upf
CELL_PARAMETERS angstrom
8.103 0.000 0.000
0.000 4.701 0.000
-3.415 0.000 9.830
ATOMIC_POSITIONS crystal
Sc 0.014 0.250 0.395
Sc 0.169 0.750 0.191
Sc 0.259 0.250 0.013
Sc 0.347 0.750 0.832
Sc 0.366 0.250 0.633
Sc 0.397 0.250 0.353
Sc 0.603 0.750 0.647
Sc 0.634 0.750 0.367
Sc 0.653 0.250 0.168
Sc 0.741 0.750 0.987
Sc 0.831 0.250 0.809
Sc 0.986 0.750 0.605
Cu 0.034 0.750 0.883
Cu 0.115 0.250 0.739
Cu 0.259 0.750 0.472
Cu 0.741 0.250 0.528
Cu 0.885 0.750 0.261
Cu 0.966 0.250 0.117
Tc 0.459 0.750 0.105
Tc 0.541 0.250 0.895
```

***

The following is a DFT calculation (GGA-PBE) of crystalline CePrEuCd at its relaxed geometry. Values from VASP.

Properties
* formation energy: 15 kJ/mol of formula units

```
&SYSTEM
  ibrav = 0, nat = 4, ntyp = 4
/
ATOMIC_SPECIES
Ce 140.12 Ce.upf
Pr 140.91 Pr.upf
Eu 151.96 Eu.upf
Cd 112.41 Cd.upf
CELL_PARAMETERS angstrom
0.000 3.960 3.960
3.960 0.000 3.960
3.960 3.960 0.000
ATOMIC_POSITIONS crystal
Ce 0.000 0.000 0.000
Pr 0.500 0.500 0.500
Eu 0.250 0.250 0.250
Cd 0.750 0.750 0.750
```

***

The following is a DFT calculation (GGA-PBE) of crystalline KNaTl at its relaxed geometry. Values from VASP.

Properties
* formation energy: -5 kJ/mol of formula units
* excess energy over the best structure of this formula in the dataset: 1.545 kcal/mol of atoms

```
&SYSTEM
  ibrav = 0, nat = 3, ntyp = 3
/
ATOMIC_SPECIES
K 39.10 K.upf
Na 22.99 Na.upf
Tl 204.38 Tl.upf
CELL_PARAMETERS angstrom
5.788 0.000 0.000
-2.894 5.013 0.000
0.000 0.000 3.902
ATOMIC_POSITIONS crystal
K 0.000 0.000 0.000
Na 0.333 0.667 0.551
Tl 0.667 0.333 0.464
```

***

The following is a DFT calculation (GGA-PBE) of crystalline VCu5S4 at its relaxed geometry. Values from VASP.

Properties
* formation energy (no corrections): -238 kJ/mol of formula units

```
&SYSTEM
  ibrav = 0, nat = 20, ntyp = 3
/
ATOMIC_SPECIES
V 50.94 V.upf
Cu 63.55 Cu.upf
S 32.06 S.upf
CELL_PARAMETERS angstrom
7.700 0.000 0.000
0.000 7.829 0.000
0.000 0.000 5.433
ATOMIC_POSITIONS crystal
V 0.250 0.250 0.223
V 0.750 0.750 0.777
Cu 0.011 0.018 0.749
Cu 0.011 0.482 0.749
Cu 0.250 0.750 0.720
Cu 0.489 0.018 0.749
Cu 0.489 0.482 0.749
Cu 0.511 0.518 0.251
Cu 0.511 0.982 0.251
Cu 0.750 0.250 0.280
Cu 0.989 0.518 0.251
Cu 0.989 0.982 0.251
S 0.011 0.250 0.485
S 0.250 0.509 0.017
S 0.250 0.991 0.017
S 0.489 0.250 0.485
S 0.511 0.750 0.515
S 0.750 0.009 0.983
S 0.750 0.491 0.983
S 0.989 0.750 0.515
```

***

The following is a DFT calculation (GGA-PBE) of crystalline SmHoCl6 at its relaxed geometry. Values from VASP.

Properties
* formation energy (no corrections): -1734 kJ/mol of formula units

```
&SYSTEM
  ibrav = 0, nat = 8, ntyp = 3
/
ATOMIC_SPECIES
Sm 150.36 Sm.upf
Ho 164.93 Ho.upf
Cl 35.45 Cl.upf
CELL_PARAMETERS angstrom
3.394 1.960 6.172
-3.394 1.960 6.172
0.000 -3.919 6.172
ATOMIC_POSITIONS crystal
Sm 0.000 0.000 0.000
Ho 0.500 0.500 0.500
Cl 0.108 0.400 0.745
Cl 0.255 0.892 0.600
Cl 0.400 0.745 0.108
Cl 0.600 0.255 0.892
Cl 0.745 0.108 0.400
Cl 0.892 0.600 0.255
```

***

The following is a DFT calculation (GGA-PBE) of crystalline MgZrSc at its relaxed geometry. Values from VASP.

Properties
* formation energy: 25 kJ/mol of formula units
* excess energy over the best structure of this formula in the dataset: 3.156 kcal/mol of atoms

```
&SYSTEM
  ibrav = 0, nat = 3, ntyp = 3
/
ATOMIC_SPECIES
Mg 24.30 Mg.upf
Zr 91.22 Zr.upf
Sc 44.96 Sc.upf
CELL_PARAMETERS angstrom
-1.570 2.247 4.886
1.570 -2.247 4.886
1.570 2.247 -4.886
ATOMIC_POSITIONS crystal
Mg 0.000 0.000 0.000
Zr 0.333 0.333 0.000
Sc 0.665 0.665 0.000
```

***

The following is a DFT calculation (GGA-PBE) of crystalline TlBiWCl2 at its relaxed geometry. Values from VASP.

Properties
* formation energy (no corrections): 536 kJ/mol of formula units

```
&SYSTEM
  ibrav = 0, nat = 5, ntyp = 4
/
ATOMIC_SPECIES
Tl 204.38 Tl.upf
Bi 208.98 Bi.upf
W 183.84 W.upf
Cl 35.45 Cl.upf
CELL_PARAMETERS angstrom
5.095 0.000 0.000
0.000 5.095 0.000
0.000 0.000 6.381
ATOMIC_POSITIONS crystal
Tl 0.000 0.000 0.000
Bi 0.000 0.000 0.500
W 0.500 0.500 0.500
Cl 0.000 0.500 0.000
Cl 0.500 0.000 0.000
```

***

The following is a DFT calculation (GGA-PBE) of crystalline ZrInSe2 at its relaxed geometry. Values from VASP.

Properties
* formation energy (no corrections): -237 kJ/mol of formula units

```
&SYSTEM
  ibrav = 0, nat = 4, ntyp = 3
/
ATOMIC_SPECIES
Zr 91.22 Zr.upf
In 114.82 In.upf
Se 78.96 Se.upf
CELL_PARAMETERS angstrom
4.062 0.000 0.000
0.000 4.062 0.000
0.000 0.000 5.735
ATOMIC_POSITIONS crystal
Zr 0.000 0.000 0.000
In 0.500 0.500 0.500
Se 0.000 0.000 0.500
Se 0.500 0.500 0.000
```

***

The following is a DFT calculation (GGA-PBE) of crystalline KLuBi2 at its relaxed geometry. Values from VASP.

Properties
* formation energy: -130 kJ/mol of formula units
* excess energy over the best structure of this formula in the dataset: 3.070 kcal/mol of atoms

```
&SYSTEM
  ibrav = 0, nat = 4, ntyp = 3
/
ATOMIC_SPECIES
K 39.10 K.upf
Lu 174.97 Lu.upf
Bi 208.98 Bi.upf
CELL_PARAMETERS angstrom
2.390 1.380 7.759
-2.390 1.380 7.759
0.000 -2.760 7.759
ATOMIC_POSITIONS crystal
K 0.000 0.000 0.000
Lu 0.500 0.500 0.500
Bi 0.228 0.228 0.228
Bi 0.772 0.772 0.772
```

***

The following is a DFT calculation (GGA-PBE) of crystalline Cs3Na3MgI8 at its relaxed geometry. Values from VASP.

Properties
* formation energy (no corrections): -1882 kJ/mol of formula units

```
&SYSTEM
  ibrav = 0, nat = 15, ntyp = 4
/
ATOMIC_SPECIES
Cs 132.91 Cs.upf
Na 22.99 Na.upf
Mg 24.30 Mg.upf
I 126.90 I.upf
CELL_PARAMETERS angstrom
8.288 -4.780 0.000
8.288 4.780 0.000
-5.526 0.000 8.867
ATOMIC_POSITIONS crystal
Cs 0.000 0.000 0.000
Cs 0.000 0.500 0.000
Cs 0.500 0.000 0.000
Na 0.000 0.500 0.500
Na 0.500 0.000 0.500
Na 0.500 0.500 0.500
Mg 0.000 0.000 0.500
I 0.214 0.214 0.688
I 0.214 0.759 0.688
I 0.241 0.786 0.312
I 0.266 0.266 0.299
I 0.734 0.734 0.701
I 0.759 0.214 0.688
I 0.786 0.241 0.312
I 0.786 0.786 0.312
```

***

The following is a DFT calculation (GGA-PBE) of crystalline SmGdCdPt at its relaxed geometry. Values from VASP.

Properties
* formation energy: -262 kJ/mol of formula units

```
&SYSTEM
  ibrav = 0, nat = 4, ntyp = 4
/
ATOMIC_SPECIES
Sm 150.36 Sm.upf
Gd 157.25 Gd.upf
Cd 112.41 Cd.upf
Pt 195.08 Pt.upf
CELL_PARAMETERS angstrom
0.000 3.656 3.656
3.656 0.000 3.656
3.656 3.656 0.000
ATOMIC_POSITIONS crystal
Sm 0.000 0.000 0.000
Gd 0.500 0.500 0.500
Cd 0.250 0.250 0.250
Pt 0.750 0.750 0.750
```

***

The following is a DFT calculation (GGA-PBE) of crystalline Pr3MgGa2Pd9 at its relaxed geometry. Values from VASP.

Properties
* formation energy: -822 kJ/mol of formula units

```
&SYSTEM
  ibrav = 0, nat = 15, ntyp = 4
/
ATOMIC_SPECIES
Pr 140.91 Pr.upf
Mg 24.30 Mg.upf
Ga 69.72 Ga.upf
Pd 106.42 Pd.upf
CELL_PARAMETERS angstrom
5.776 0.000 0.000
-2.888 5.002 0.000
0.000 0.000 11.648
ATOMIC_POSITIONS crystal
Pr 0.000 0.000 0.000
Pr 0.333 0.667 0.751
Pr 0.667 0.333 0.249
Mg 0.000 0.000 0.500
Ga 0.333 0.667 0.162
Ga 0.667 0.333 0.838
Pd 0.000 0.500 0.000
Pd 0.162 0.323 0.315
Pd 0.162 0.838 0.315
Pd 0.323 0.162 0.685
Pd 0.500 0.000 0.000
Pd 0.500 0.500 0.000
Pd 0.677 0.838 0.315
Pd 0.838 0.162 0.685
Pd 0.838 0.677 0.685
```

***

The following is a DFT calculation (GGA-PBE) of crystalline CdIn2P at its relaxed geometry. Values from VASP.

Properties
* formation energy: 49 kJ/mol of formula units
* excess energy over the best structure of this formula in the dataset: 2.489 kcal/mol of atoms

```
&SYSTEM
  ibrav = 0, nat = 4, ntyp = 3
/
ATOMIC_SPECIES
Cd 112.41 Cd.upf
In 114.82 In.upf
P 30.97 P.upf
CELL_PARAMETERS angstrom
2.961 0.000 0.000
0.000 3.906 0.000
0.000 0.000 8.129
ATOMIC_POSITIONS crystal
Cd 0.000 0.000 0.000
In 0.500 0.500 0.267
In 0.500 0.500 0.733
P 0.500 0.000 0.500
```